## i
An optimized crystal structure of Pm3Ni4Sn4, computed with PBE-GGA.

The structure in POSCAR format:
```
Pm3Ni4Sn4
1.0
-2.063 2.273 12.775
2.063 -2.273 12.775
2.063 2.273 -12.775
Pm Ni Sn
3 4 4
direct
0.000 0.000 0.000
0.345 0.845 0.500
0.655 0.155 0.500
0.097 0.597 0.500
0.254 0.254 0.000
0.746 0.746 0.000
0.903 0.403 0.500
0.197 0.697 0.500
0.444 0.444 0.000
0.556 0.556 0.000
0.803 0.303 0.500
```

=====

## ii
An optimized crystal structure of Pm3Ni4Sn4, computed with PBE-GGA.

The structure in POSCAR format:
```
Pm3Ni4Sn4
1.0
-2.118 2.169 13.011
2.118 -2.169 13.011
2.118 2.169 -13.011
Pm Ni Sn
3 4 4
direct
0.000 0.000 0.000
0.354 0.854 0.500
0.646 0.146 0.500
0.194 0.694 0.500
0.455 0.455 0.000
0.545 0.545 0.000
0.806 0.306 0.500
0.097 0.597 0.500
0.251 0.251 0.000
0.749 0.749 0.000
0.903 0.403 0.500
```

=====

What should be chosen as the least stable of them? Choose ii.

=====

## i
An optimized crystal structure of PmNi3Sn3, computed with PBE-GGA.

The structure in POSCAR format:
```
PmNi3Sn3
1.0
4.074 2.352 5.046
-4.074 2.352 5.046
0.000 -4.704 5.046
Pm Ni Sn
2 6 6
direct
0.171 0.171 0.171
0.829 0.829 0.829
0.101 0.783 0.447
0.217 0.553 0.899
0.447 0.101 0.783
0.553 0.899 0.217
0.783 0.447 0.101
0.899 0.217 0.553
0.110 0.376 0.682
0.318 0.890 0.624
0.376 0.682 0.110
0.624 0.318 0.890
0.682 0.110 0.376
0.890 0.624 0.318
```

=====

## ii
An optimized crystal structure of PmNi3Sn3, computed with PBE-GGA.

The structure in POSCAR format:
```
PmNi3Sn3
1.0
6.896 0.000 0.000
0.000 6.896 0.000
0.000 0.000 6.896
Pm Ni Sn
2 6 6
direct
0.000 0.000 0.000
0.500 0.500 0.500
0.000 0.250 0.500
0.000 0.750 0.500
0.250 0.500 0.000
0.500 0.000 0.250
0.500 0.000 0.750
0.750 0.500 0.000
0.000 0.500 0.250
0.000 0.500 0.750
0.250 0.000 0.500
0.500 0.250 0.000
0.500 0.750 0.000
0.750 0.000 0.500
```

=====

What should be chosen as the least stable of them? Choose ii.

=====

## i
An optimized crystal structure of Pm2NiSn3, computed with PBE-GGA.

The structure in POSCAR format:
```
Pm2NiSn3
1.0
5.203 -3.596 0.000
5.203 3.596 0.000
-1.564 0.000 8.176
Pm Ni Sn
4 2 6
direct
0.007 0.677 0.851
0.323 0.993 0.649
0.677 0.007 0.351
0.993 0.323 0.149
0.475 0.525 0.750
0.525 0.475 0.250
0.169 0.831 0.250
0.249 0.478 0.481
0.478 0.249 0.981
0.522 0.751 0.019
0.751 0.522 0.519
0.831 0.169 0.750
```

=====

## ii
An optimized crystal structure of Pm2NiSn3, computed with PBE-GGA.

The structure in POSCAR format:
```
Pm2NiSn3
1.0
5.657 -2.300 0.000
5.657 2.300 0.000
-4.814 0.000 5.685
Pm Ni Sn
2 1 3
direct
0.000 0.000 0.000
0.125 0.125 0.600
0.379 0.379 0.545
0.393 0.393 0.204
0.664 0.664 0.923
0.752 0.752 0.426
```

=====

What should be chosen as the least stable of them? Choose i.

=====

## i
An optimized crystal structure of TbPm3Ni, computed with PBE-GGA.

The structure in POSCAR format:
```
TbPm3Ni
1.0
-5.247 3.691 3.989
5.247 -3.691 3.989
5.247 3.691 -3.989
Tb Pm Ni
2 6 2
direct
0.005 0.250 0.255
0.995 0.750 0.745
0.002 0.266 0.765
0.002 0.737 0.236
0.497 0.752 0.244
0.501 0.237 0.235
0.501 0.766 0.764
0.508 0.252 0.756
0.003 0.001 0.502
0.499 0.501 0.498
```

=====

## ii
An optimized crystal structure of TbPm3Ni, computed with PBE-GGA.

The structure in POSCAR format:
```
TbPm3Ni
1.0
6.132 -1.854 0.000
6.132 1.854 0.000
-6.126 0.000 12.700
Tb Pm Ni
2 6 2
direct
0.000 0.000 0.000
0.107 0.107 0.272
0.123 0.123 0.638
0.234 0.234 0.917
0.446 0.446 0.395
0.453 0.453 0.760
0.777 0.777 0.155
0.785 0.785 0.515
0.455 0.455 0.128
0.784 0.784 0.788
```

=====

## iii
An optimized crystal structure of TbPm3Ni, computed with PBE-GGA.

The structure in POSCAR format:
```
TbPm3Ni
1.0
5.440 0.000 0.000
0.000 5.440 0.000
0.000 0.000 5.440
Tb Pm Ni
1 3 1
direct
0.000 0.000 0.000
0.000 0.500 0.500
0.500 0.000 0.500
0.500 0.500 0.000
0.500 0.500 0.500
```

=====

What should be chosen as the least stable of them? Choose iii.

=====

## i
An optimized crystal structure of Tb3PmNi, computed with PBE-GGA.

The structure in POSCAR format:
```
Tb3PmNi
1.0
5.349 0.000 0.000
0.000 5.349 0.000
0.000 0.000 5.349
Tb Pm Ni
3 1 1
direct
0.000 0.000 0.500
0.000 0.500 0.000
0.500 0.000 0.000
0.500 0.500 0.500
0.000 0.000 0.000
```

=====

## ii
An optimized crystal structure of Tb3PmNi, computed with PBE-GGA.

The structure in POSCAR format:
```
Tb3PmNi
1.0
7.517 0.000 0.000
-3.759 6.510 0.000
0.000 0.000 5.891
Tb Pm Ni
6 2 2
direct
0.177 0.354 0.250
0.177 0.823 0.250
0.354 0.177 0.750
0.646 0.823 0.250
0.823 0.177 0.750
0.823 0.646 0.750
0.333 0.667 0.750
0.667 0.333 0.250
0.000 0.000 0.000
0.000 0.000 0.500
```

=====

What should be chosen as the least stable of them? Choose i.

=====

## i
An optimized crystal structure of Pm3NiTe, computed with PBE-GGA.

The structure in POSCAR format:
```
Pm3NiTe
1.0
5.348 0.000 0.000
0.000 5.348 0.000
0.000 0.000 5.348
Pm Ni Te
3 1 1
direct
0.000 0.000 0.500
0.000 0.500 0.000
0.500 0.000 0.000
0.000 0.000 0.000
0.500 0.500 0.500
```

=====

## ii
An optimized crystal structure of Pm3NiTe, computed with PBE-GGA.

The structure in POSCAR format:
```
Pm3NiTe
1.0
8.177 0.000 0.000
0.000 4.060 0.000
-2.261 0.000 8.478
Pm Ni Te
6 2 2
direct
0.076 0.250 0.259
0.301 0.250 0.936
0.317 0.750 0.591
0.683 0.250 0.409
0.699 0.750 0.064
0.924 0.750 0.741
0.061 0.250 0.583
0.939 0.750 0.417
0.386 0.750 0.233
0.614 0.250 0.767
```

=====

What should be chosen as the least stable of them? Choose i.